No. 1
VASP calculation (GGA-PBEsol) on crystalline SbAu3C at its relaxed geometry.

Cell and atoms, written as CIF:
```
data_SbAu3C
_chemical_formula_sum 'Sb1 Au3 C1'
_cell_length_a 5.113
_cell_length_b 5.113
_cell_length_c 5.113
_cell_angle_alpha 90.00
_cell_angle_beta 90.00
_cell_angle_gamma 90.00
_space_group_name_H-M_alt 'P 1'
_space_group_IT_number 1
_space_group_name_Hall 'P 1'
loop_
_atom_site_label
_atom_site_type_symbol
_atom_site_fract_x
_atom_site_fract_y
_atom_site_fract_z
_atom_site_occupancy
Sb1 Sb 0.000 0.000 0.000 1
Au1 Au 0.000 0.000 0.500 1
Au2 Au 0.000 0.500 0.000 1
Au3 Au 0.500 0.000 0.000 1
C1 C 0.500 0.500 0.500 1
```

Summary:
Formation energy (no corrections) (eV/atom): 1.99
Space group: Pm-3m (221)

No. 2
VASP calculation (GGA-PBEsol) on crystalline Sc3AuC at its relaxed geometry.

Cell and atoms, written as CIF:
```
data_Sc3AuC
_chemical_formula_sum 'Sc3 Au1 C1'
_cell_length_a 4.440
_cell_length_b 4.440
_cell_length_c 4.440
_cell_angle_alpha 90.00
_cell_angle_beta 90.00
_cell_angle_gamma 90.00
_space_group_name_H-M_alt 'P 1'
_space_group_IT_number 1
_space_group_name_Hall 'P 1'
loop_
_atom_site_label
_atom_site_type_symbol
_atom_site_fract_x
_atom_site_fract_y
_atom_site_fract_z
_atom_site_occupancy
Sc1 Sc 0.000 0.000 0.500 1
Sc2 Sc 0.000 0.500 0.000 1
Sc3 Sc 0.500 0.000 0.000 1
Au1 Au 0.500 0.500 0.500 1
C1 C 0.000 0.000 0.000 1
```

Summary:
Excess energy over the best structure of this formula in the dataset (eV per atom): 0.048
ΔE_f (eV per atom): -0.63
Space group: Pm-3m (221)

No. 3
VASP calculation (GGA-PBEsol) on crystalline ScAuC2 at its relaxed geometry.

Cell and atoms, written as CIF:
```
data_ScAuC2
_chemical_formula_sum 'Sc1 Au1 C2'
_cell_length_a 4.031
_cell_length_b 4.031
_cell_length_c 4.031
_cell_angle_alpha 60.00
_cell_angle_beta 60.00
_cell_angle_gamma 60.00
_space_group_name_H-M_alt 'P 1'
_space_group_IT_number 1
_space_group_name_Hall 'P 1'
loop_
_atom_site_label
_atom_site_type_symbol
_atom_site_fract_x
_atom_site_fract_y
_atom_site_fract_z
_atom_site_occupancy
Sc1 Sc 0.000 0.000 0.000 1
Au1 Au 0.500 0.500 0.500 1
C1 C 0.250 0.250 0.250 1
C2 C 0.750 0.750 0.750 1
```

Summary:
ΔE_f (eV per atom): 1.18
Space group: Fm-3m (225)

No. 4
VASP calculation (GGA-PBEsol) on crystalline Sc3AuC at its relaxed geometry.

Cell and atoms, written as CIF:
```
data_Sc3AuC
_chemical_formula_sum 'Sc6 Au2 C2'
_cell_length_a 6.255
_cell_length_b 6.255
_cell_length_c 6.255
_cell_angle_alpha 119.17
_cell_angle_beta 91.15
_cell_angle_gamma 119.50
_space_group_name_H-M_alt 'P 1'
_space_group_IT_number 1
_space_group_name_Hall 'P 1'
loop_
_atom_site_label
_atom_site_type_symbol
_atom_site_fract_x
_atom_site_fract_y
_atom_site_fract_z
_atom_site_occupancy
Sc1 Sc 0.210 0.000 0.710 1
Sc2 Sc 0.210 0.500 0.210 1
Sc3 Sc 0.327 0.077 0.250 1
Sc4 Sc 0.673 0.923 0.750 1
Sc5 Sc 0.790 0.000 0.290 1
Sc6 Sc 0.790 0.500 0.790 1
Au1 Au 0.240 0.490 0.750 1
Au2 Au 0.760 0.510 0.250 1
C1 C 0.000 0.000 0.000 1
C2 C 0.500 0.000 0.500 1
```

Summary:
Excess energy over the best structure of this formula in the dataset (eV per atom): 0.000
ΔE_f (eV per atom): -0.68
Space group: Imma (74)

No. 5
VASP calculation (GGA-PBEsol) on crystalline Au2CSe at its relaxed geometry.

Cell and atoms, written as CIF:
```
data_Au2CSe
_chemical_formula_sum 'Au4 C2 Se2'
_cell_length_a 7.140
_cell_length_b 7.140
_cell_length_c 7.140
_cell_angle_alpha 140.67
_cell_angle_beta 140.67
_cell_angle_gamma 56.83
_space_group_name_H-M_alt 'P 1'
_space_group_IT_number 1
_space_group_name_Hall 'P 1'
loop_
_atom_site_label
_atom_site_type_symbol
_atom_site_fract_x
_atom_site_fract_y
_atom_site_fract_z
_atom_site_occupancy
Au1 Au 0.018 0.625 0.893 1
Au2 Au 0.375 0.268 0.393 1
Au3 Au 0.732 0.125 0.107 1
Au4 Au 0.875 0.982 0.607 1
C1 C 0.000 0.000 0.000 1
C2 C 0.750 0.250 0.500 1
Se1 Se 0.250 0.750 0.500 1
Se2 Se 0.500 0.500 0.000 1
```

Summary:
Formation energy (no corrections) (eV/atom): 0.93
Space group: I-42d (122)

No. 6
VASP calculation (GGA-PBEsol) on crystalline SrAuCSe2 at its relaxed geometry.

Cell and atoms, written as CIF:
```
data_SrAuCSe2
_chemical_formula_sum 'Sr1 Au1 C1 Se2'
_cell_length_a 5.348
_cell_length_b 5.348
_cell_length_c 3.868
_cell_angle_alpha 90.00
_cell_angle_beta 90.00
_cell_angle_gamma 90.00
_space_group_name_H-M_alt 'P 1'
_space_group_IT_number 1
_space_group_name_Hall 'P 1'
loop_
_atom_site_label
_atom_site_type_symbol
_atom_site_fract_x
_atom_site_fract_y
_atom_site_fract_z
_atom_site_occupancy
Sr1 Sr 0.000 0.000 0.000 1
Au1 Au 0.500 0.500 0.500 1
C1 C 0.500 0.500 0.000 1
Se1 Se 0.000 0.500 0.500 1
Se2 Se 0.500 0.000 0.500 1
```

Summary:
Formation energy (no corrections) (eV/atom): 0.11
Space group: P4/mmm (123)